(1)
DFT (PBE) results for LaTb4Dy after structural relaxation.

a = 3.4333 Å, b = 6.0921 Å, c = 11.6853 Å
α = 119.17°, β = 90.00°, γ = 106.37°
Closest atoms and distances in Å follow each position.
Atoms (fractional coordinates):
La (0.5000, 0.0000, 0.0000)  2 La 3.43, 8 Tb 3.49-3.60
Tb (0.1537, 0.3074, 0.8415)  6 Tb 3.43-3.64, 1 Dy 3.44, 3 La 3.49-3.60
Tb (0.8463, 0.6926, 0.1585)  6 Tb 3.43-3.64, 1 Dy 3.44, 3 La 3.49-3.60
Tb (0.6557, 0.3114, 0.3474)  6 Tb 3.43-3.58, 3 Dy 3.48-3.57, 1 La 3.50
Tb (0.3443, 0.6886, 0.6526)  6 Tb 3.43-3.58, 3 Dy 3.48-3.57, 1 La 3.50
Dy (0.0000, 0.0000, 0.5000)  2 Dy 3.43, 8 Tb 3.44-3.57

Output
Relative energy among the computed polymorphs in eV/atom: 0.063
M_tot in μB/f.u.: 0.00
Uncorrected energy in eV per atom: -4.474
Crystal system: monoclinic
DFT formation energy in eV per atom: 0.20
Symmetry: C2/m

***

(2)
DFT (PBE) results for U3PaSe6 after structural relaxation.

a = 6.9432 Å, b = 7.7525 Å, c = 9.8534 Å
α = 90.00°, β = 88.22°, γ = 90.00°
Closest atoms and distances in Å follow each position.
Atoms (fractional coordinates):
U (0.5539, 0.8707, 0.7560)  6 Se 2.92-3.10
U (0.5000, 0.5000, 0.0000)  6 Se 2.85-2.86
U (0.4461, 0.1293, 0.2440)  6 Se 2.92-3.10
U (0.0539, 0.6293, 0.2560)  6 Se 2.92-3.10
U (0.0000, 0.0000, 0.5000)  6 Se 2.85-2.86
U (0.9461, 0.3707, 0.7440)  6 Se 2.92-3.10
Pa (0.5000, 0.5000, 0.5000)  6 Se 2.83-2.85
Pa (0.0000, 0.0000, 0.0000)  6 Se 2.83-2.85
Se (0.6563, 0.1702, 0.9313)  1 Pa 2.83, 3 U 2.85-3.10
Se (0.6523, 0.1738, 0.5772)  3 U 2.85-3.07, 1 Pa 2.85
Se (0.6916, 0.4355, 0.2476)  1 Pa 2.83, 3 U 2.86-2.93
Se (0.3084, 0.5645, 0.7524)  1 Pa 2.83, 3 U 2.86-2.93
Se (0.3477, 0.8262, 0.4228)  3 U 2.85-3.07, 1 Pa 2.85
Se (0.3437, 0.8298, 0.0687)  1 Pa 2.83, 3 U 2.85-3.10
Se (0.1563, 0.3298, 0.4313)  1 Pa 2.83, 3 U 2.85-3.10
Se (0.1523, 0.3262, 0.0772)  3 U 2.85-3.07, 1 Pa 2.85
Se (0.1916, 0.0645, 0.7476)  1 Pa 2.83, 3 U 2.86-2.93
Se (0.8084, 0.9355, 0.2524)  1 Pa 2.83, 3 U 2.86-2.93
Se (0.8477, 0.6738, 0.9228)  3 U 2.85-3.07, 1 Pa 2.85
Se (0.8437, 0.6702, 0.5687)  1 Pa 2.83, 3 U 2.85-3.10

Output
Relative energy among the computed polymorphs in eV/atom: 0.000
M_tot in μB/f.u.: 11.04
Uncorrected energy in eV per atom: -7.499
Crystal system: monoclinic
ΔE_f (raw) in kcal/mol of atoms: -24.723
Symmetry: P2_1/c

***

(3)
DFT (PBE) results for LuThCu2 after structural relaxation.

a = 3.4179 Å, b = 3.4179 Å, c = 7.2148 Å
α = 90.00°, β = 90.00°, γ = 90.00°
Closest atoms and distances in Å follow each position.
Atoms (fractional coordinates):
Lu (0.5000, 0.5000, 0.0000)  8 Cu 2.90
Th (0.5000, 0.5000, 0.5000)  8 Cu 3.14, 4 Th 3.42
Cu (0.0000, 0.0000, 0.7786)  4 Lu 2.90, 4 Th 3.14, 1 Cu 3.19
Cu (0.0000, 0.0000, 0.2214)  4 Lu 2.90, 4 Th 3.14, 1 Cu 3.19

Output
Relative energy among the computed polymorphs in eV/atom: 0.000
M_tot in μB/f.u.: 0.02
Uncorrected energy in eV per atom: -5.208
Crystal system: tetragonal
DFT formation energy in eV per atom: -0.18
Symmetry: P4/mmm

***

(4)
DFT (PBE) results for Ba2BeCdO4 after structural relaxation.

a = 4.9489 Å, b = 6.0703 Å, c = 10.7236 Å
α = 84.60°, β = 76.66°, γ = 65.94°
Closest atoms and distances in Å follow each position.
Atoms (fractional coordinates):
Ba (0.1825, 0.0000, 0.6349)  4 O 2.75-2.87
Ba (0.8175, 0.0000, 0.3651)  4 O 2.75-2.87
Ba (0.5675, 0.5000, 0.8651)  4 O 2.75-2.87
Ba (0.9325, 0.5000, 0.1349)  4 O 2.75-2.87
Be (0.2500, 0.5000, 0.5000)  4 O 1.73
Be (0.5000, 0.0000, 0.0000)  4 O 1.73
Cd (0.7500, 0.5000, 0.5000)  4 O 2.13
Cd (0.0000, 0.0000, 0.0000)  4 O 2.13
O (0.3716, 0.7952, 0.0889)  1 Be 1.73
O (0.2557, 0.2048, 0.9111)  1 Be 1.73
O (0.8331, 0.7952, 0.9111)  1 Be 1.73
O (0.5395, 0.2048, 0.0889)  1 Be 1.73
O (0.3784, 0.7048, 0.4111)  1 Be 1.73
O (0.4943, 0.2952, 0.5889)  1 Be 1.73
O (0.9169, 0.7048, 0.5889)  1 Be 1.73
O (0.2105, 0.2952, 0.4111)  1 Be 1.73

Output
M_tot in μB/f.u.: 0.00
Uncorrected energy in eV per atom: -5.381
Crystal system: orthorhombic
ΔE_f (raw) in kcal/mol of atoms: -42.465
Symmetry: Fddd

***

(5)
DFT (PBE) results for Na12Hg5O2 after structural relaxation.

a = 6.9244 Å, b = 8.9324 Å, c = 9.8908 Å
α = 115.86°, β = 110.49°, γ = 90.00°
Closest atoms and distances in Å follow each position.
Atoms (fractional coordinates):
Na (0.0048, 0.8423, 0.0097)  2 O 2.28
Na (0.8864, 0.1446, 0.2773)  1 O 2.28
Na (0.3909, 0.1446, 0.2773)  1 O 2.28
Na (0.8909, 0.6520, 0.3000)  5 Hg 3.04-3.28, 1 Na 3.34
Na (0.4091, 0.6520, 0.3000)  5 Hg 3.04-3.28, 1 Na 3.34
Na (0.4963, 0.1685, 0.9926)  2 O 2.30
Na (0.5037, 0.8315, 0.0074)  2 O 2.30
Na (0.1091, 0.3480, 0.7000)  5 Hg 3.04-3.28, 1 Na 3.34
Na (0.5909, 0.3480, 0.7000)  5 Hg 3.04-3.28, 1 Na 3.34
Na (0.1136, 0.8554, 0.7227)  1 O 2.28
Na (0.6091, 0.8554, 0.7227)  1 O 2.28
Na (0.9952, 0.1577, 0.9903)  2 O 2.28
Hg (0.7524, 0.4999, 0.5049)  8 Na 3.26-3.35, 2 Hg 3.46
Hg (0.7514, 0.0039, 0.5027)  8 Na 3.27-3.39, 2 Hg 3.46
Hg (0.0000, 0.5000, 0.0000)  6 Na 3.02-3.04
Hg (0.2486, 0.9961, 0.4973)  8 Na 3.27-3.39, 2 Hg 3.46
Hg (0.2476, 0.5001, 0.4951)  8 Na 3.26-3.35, 2 Hg 3.46
O (0.2530, 0.0000, 0.0000)  6 Na 2.28-2.30
O (0.7470, 0.0000, 0.0000)  6 Na 2.28-2.30

Output
M_tot in μB/f.u.: 0.00
Uncorrected energy in eV per atom: -1.907
Crystal system: monoclinic
ΔE_f (raw) in kcal/mol of atoms: -10.889
Symmetry: C2/m

***

(6)
DFT (PBE) results for LiHgPCl2 after structural relaxation.

a = 4.4870 Å, b = 4.4870 Å, c = 5.7782 Å
α = 90.00°, β = 90.00°, γ = 90.00°
Closest atoms and distances in Å follow each position.
Atoms (fractional coordinates):
P (0.0000, 0.0000, 0.5000)  2 Li 2.89, 4 Hg 3.17
Li (0.0000, 0.0000, 0.0000)  4 Cl 2.24
Hg (0.5000, 0.5000, 0.5000)  4 P 3.17
Cl (0.0000, 0.5000, 0.0000)  2 Li 2.24
Cl (0.5000, 0.0000, 0.0000)  2 Li 2.24

Output
Relative energy among the computed polymorphs in eV/atom: 0.003
M_tot in μB/f.u.: 2.11
Uncorrected energy in eV per atom: -2.316
Crystal system: tetragonal
ΔE_f (raw) in kcal/mol of atoms: -1.196
Symmetry: P4/mmm

***

(7)
DFT (PBE) results for LiPb6 after structural relaxation.

a = 7.4742 Å, b = 7.4742 Å, c = 7.4742 Å
α = 109.47°, β = 109.47°, γ = 109.47°
Closest atoms and distances in Å follow each position.
Atoms (fractional coordinates):
Li (0.0000, 0.0000, 0.0000)  24 Pb 4.82
Pb (0.2500, 0.7500, 0.5000)  4 Pb 3.05
Pb (0.5000, 0.7500, 0.2500)  4 Pb 3.05
Pb (0.2500, 0.5000, 0.7500)  4 Pb 3.05
Pb (0.7500, 0.2500, 0.5000)  4 Pb 3.05
Pb (0.5000, 0.2500, 0.7500)  4 Pb 3.05
Pb (0.7500, 0.5000, 0.2500)  4 Pb 3.05

Output
Relative energy among the computed polymorphs in eV/atom: 0.407
M_tot in μB/f.u.: 0.00
Uncorrected energy in eV per atom: -3.055
Crystal system: cubic
DFT formation energy in eV per atom: 0.40
Symmetry: Im-3m

***

(8)
DFT (PBE) results for Nd4Y3Ge4 after structural relaxation.

a = 3.7547 Å, b = 8.8936 Å, c = 10.0415 Å
α = 116.29°, β = 100.78°, γ = 90.00°
Closest atoms and distances in Å follow each position.
Atoms (fractional coordinates):
Nd (0.3302, 0.1564, 0.6604)  4 Ge 3.04-3.13, 1 Nd 3.09
Nd (0.6698, 0.4960, 0.3396)  4 Ge 3.04-3.13, 1 Nd 3.09
Nd (0.6698, 0.8436, 0.3396)  4 Ge 3.04-3.13, 1 Nd 3.09
Nd (0.3302, 0.5040, 0.6604)  4 Ge 3.04-3.13, 1 Nd 3.09
Y (0.0938, 0.0938, 0.1877)  6 Ge 2.93-3.20
Y (0.9062, 0.9062, 0.8123)  6 Ge 2.93-3.20
Y (0.0000, 0.5000, 0.0000)  4 Ge 3.09
Ge (0.2787, 0.7787, 0.5574)  2 Y 2.93, 6 Nd 3.04-3.10
Ge (0.7213, 0.2213, 0.4426)  2 Y 2.93, 6 Nd 3.04-3.10
Ge (0.5000, 0.7764, 0.0000)  6 Y 3.09-3.20, 2 Nd 3.13
Ge (0.5000, 0.2236, 0.0000)  6 Y 3.09-3.20, 2 Nd 3.13

Output
M_tot in μB/f.u.: 0.00
Uncorrected energy in eV per atom: -5.791
Crystal system: orthorhombic
DFT formation energy in eV per atom: -0.62
Symmetry: Immm

***

(9)
DFT (PBE) results for ZrV2InS after structural relaxation.

a = 4.8870 Å, b = 4.8614 Å, c = 4.8870 Å
α = 90.00°, β = 90.00°, γ = 90.00°
Closest atoms and distances in Å follow each position.
Atoms (fractional coordinates):
S (0.0000, 0.5000, 0.0000)  2 In 2.43
V (0.0000, 0.0000, 0.5000)  2 In 2.44
V (0.5000, 0.0000, 0.0000)  2 In 2.44
Zr (0.5000, 0.5000, 0.5000)  8 V 3.45, 4 S 3.46
In (0.0000, 0.0000, 0.0000)  2 S 2.43, 4 V 2.44

Output
M_tot in μB/f.u.: 0.00
Uncorrected energy in eV per atom: -5.136
Crystal system: tetragonal
ΔE_f (raw) in kcal/mol of atoms: 36.770
Symmetry: P4/mmm

***

(10)
DFT (PBE) results for ReNiAgPt2 after structural relaxation.

a = 4.8428 Å, b = 4.5195 Å, c = 4.8428 Å
α = 90.00°, β = 90.00°, γ = 90.00°
Closest atoms and distances in Å follow each position.
Atoms (fractional coordinates):
Re (0.0000, 0.0000, 0.0000)  2 Ni 2.26, 4 Pt 2.42
Ag (0.5000, 0.5000, 0.5000)  8 Pt 3.31, 4 Ni 3.42
Pt (0.0000, 0.0000, 0.5000)  2 Re 2.42
Pt (0.5000, 0.0000, 0.0000)  2 Re 2.42
Ni (0.0000, 0.5000, 0.0000)  2 Re 2.26

Output
M_tot in μB/f.u.: 0.00
Uncorrected energy in eV per atom: -5.459
Crystal system: tetragonal
DFT formation energy in eV per atom: 1.17
Symmetry: P4/mmm